Entry 1:
MgNb2Re: optimized geometry, PBE-GGA.

Lattice parameters (Å, degrees): 7.5124 7.5124 5.9976 51.22 51.22 90.00
Closest atoms and distances in Å follow each position.
Positions (direct):
Re  0.0000  0.0000  0.0000  4 Nb 2.53, 2 Mg 2.78
Re  0.7500  0.2500  0.5000  4 Nb 2.53, 2 Mg 2.78
Nb  0.6689  0.1250  0.2500  2 Re 2.53
Nb  0.0811  0.6250  0.2500  2 Re 2.53
Nb  0.3750  0.3311  0.7500  2 Re 2.53
Nb  0.8750  0.9189  0.7500  2 Re 2.53
Mg  0.5000  0.5000  0.0000  2 Re 2.78, 4 Nb 2.98
Mg  0.2500  0.7500  0.5000  2 Re 2.78, 4 Nb 2.98

Properties
Fermi-level density of states: 3.25 states/eV/f.u.
SG: I-42d
total moment: 0.000 μB/cell
final energy: -7.95 eV per atom

---

Entry 2:
HoEr3: optimized geometry, PBE-GGA.

Lattice parameters (Å, degrees): 4.9478 4.9478 6.0679 114.06 114.06 90.00
Closest atoms and distances in Å follow each position.
Positions (direct):
Ho  0.0000  0.0000  0.0000  12 Er 3.50
Er  0.7500  0.2500  0.5000  8 Er 3.50, 4 Ho 3.50
Er  0.2500  0.7500  0.5000  8 Er 3.50, 4 Ho 3.50
Er  0.5000  0.5000  0.0000  4 Ho 3.50, 8 Er 3.50

Properties
excess energy over the best structure of this formula in the dataset: 25 meV per atom
Fermi-level density of states: 5.70 states/eV/f.u.
SG: I4/mmm
total moment: 0.000 μB/cell

---

Entry 3:
LaPm5Cu6: optimized geometry, PBE-GGA.

Lattice parameters (Å, degrees): 5.0920 7.1054 8.0343 90.00 71.53 90.00
Closest atoms and distances in Å follow each position.
Positions (direct):
Pm  0.6658  0.5000  0.6685  8 Cu 3.06-3.09
Pm  0.3323  0.0000  0.3355  8 Cu 3.07-3.14
Pm  0.0000  0.5000  0.0000  8 Cu 3.08-3.11
Pm  0.6677  0.0000  0.6645  8 Cu 3.07-3.14
Pm  0.3342  0.5000  0.3315  8 Cu 3.06-3.09
Cu  0.8308  0.7460  0.3383  7 Pm 3.06-3.12, 1 La 3.15
Cu  0.8309  0.2540  0.3383  7 Pm 3.06-3.12, 1 La 3.15
Cu  0.5000  0.2572  0.0000  6 Pm 3.06-3.14, 2 La 3.13
Cu  0.5000  0.7428  0.0000  6 Pm 3.06-3.14, 2 La 3.13
Cu  0.1691  0.7460  0.6617  7 Pm 3.06-3.12, 1 La 3.15
Cu  0.1692  0.2540  0.6617  7 Pm 3.06-3.12, 1 La 3.15
La  0.0000  0.0000  0.0000  8 Cu 3.13-3.15

Properties
Fermi-level density of states: 9.25 states/eV/f.u.
SG: Cmmm
total moment: 0.000 μB/cell
final energy: -4.59 eV per atom

---

Entry 4:
Li2CrCd: optimized geometry, PBE-GGA.

Lattice parameters (Å, degrees): 2.8884 2.8884 9.5414 90.00 90.00 112.73
Closest atoms and distances in Å follow each position.
Positions (direct):
Cd  0.5000  0.5000  0.2500  6 Cd 2.89-3.20, 4 Li 2.93
Cr  0.5000  0.5000  0.7500  4 Li 2.81, 4 Cr 2.89
Li  0.0000  0.0000  0.9927  2 Cr 2.81, 4 Li 2.89, 2 Cd 2.93
Li  0.0000  0.0000  0.5073  2 Cr 2.81, 4 Li 2.89, 2 Cd 2.93

Properties
Fermi-level density of states: 2.28 states/eV/f.u.
SG: Cmmm
total moment: 3.924 μB/cell
final energy: -3.28 eV per atom

---

Entry 5:
Cs2HfB2Se6: optimized geometry, PBE-GGA.

Lattice parameters (Å, degrees): 6.9747 6.9825 8.7752 111.18 90.00 119.96
Closest atoms and distances in Å follow each position.
Positions (direct):
Cs  0.7046  0.4091  0.1650  9 Se 3.58-4.00
Cs  0.2954  0.5909  0.8350  9 Se 3.58-4.00
Hf  0.5000  0.0000  0.5000  6 Se 2.67-2.70
B  0.9141  0.8283  0.6808  3 Se 1.96-1.98
B  0.0859  0.1717  0.3192  3 Se 1.96-1.98
Se  0.7425  0.4850  0.6405  1 B 1.96
Se  0.2267  0.9767  0.2667  1 B 1.98
Se  0.2500  0.0233  0.7333  1 B 1.98
Se  0.7733  0.0233  0.7333  1 B 1.98
Se  0.7500  0.9767  0.2667  1 B 1.98
Se  0.2575  0.5150  0.3595  1 B 1.96

Properties
uncorrected formation energy: -726 kJ/mol of formula units
Fermi-level density of states: 0.03 states/eV/f.u.
SG: C2/m
total moment: 0.000 μB/cell

---

Entry 6:
Pr2GePd6Pb: optimized geometry, PBE-GGA.

Lattice parameters (Å, degrees): 6.5473 6.8414 6.8395 48.05 86.31 106.27
Closest atoms and distances in Å follow each position.
Positions (direct):
Pr  0.7479  0.2469  0.4987  5 Pd 2.92-3.23
Pr  0.2521  0.7531  0.5013  5 Pd 2.92-3.23
Ge  0.5000  0.5000  0.0000  6 Pd 2.49-2.62
Pd  0.3187  0.3083  0.4822  1 Ge 2.62, 3 Pd 2.75-2.83, 1 Pb 2.82
Pd  0.9237  0.7436  0.8205  1 Ge 2.49, 1 Pb 2.70
Pd  0.3197  0.8016  0.9886  1 Ge 2.61, 3 Pd 2.75-2.84, 1 Pb 2.82
Pd  0.6802  0.1984  0.0114  1 Ge 2.61, 3 Pd 2.75-2.84, 1 Pb 2.82
Pd  0.0763  0.2564  0.1795  1 Ge 2.49, 1 Pb 2.70
Pd  0.6813  0.6917  0.5178  1 Ge 2.62, 3 Pd 2.75-2.83, 1 Pb 2.82
Pb  0.0000  0.0000  0.0000  6 Pd 2.70-2.82

Properties
Fermi-level density of states: 5.18 states/eV/f.u.
SG: P-1
total moment: 0.000 μB/cell
final energy: -5.47 eV per atom